Compound: SmDyHf
Source: Alexandria via LeMat-Bulk
Functional: PBE-GGA
Structure: optimized geometry

Structure (POSCAR):
```
SmDyHf
1.0
3.4065 0.0000 0.0000
-1.7033 2.9501 0.0000
0.0000 0.0000 8.4746
Sm Dy Hf
1 1 1
Direct
0.0000 0.0000 0.0000
0.3333 0.6667 0.6233
0.6667 0.3333 0.3146
```

Output
SG: P3m1 (156)
VASP energy: -6.275 eV per atom
total magnetization: 0.0000 μB/atom
formation enthalpy at 0 K: 0.1495 eV per atom